Entry 1:
This record from the Alexandria database describes crystalline K2AlCl2F4 at its relaxed geometry. The functional is PBE-GGA.

Summary:
V in Å³ per cell: 171
Formation energy without anion corrections in eV/atom: -2.4441
Density in Mg/m³: 2.45
Spin magnetization in μB/atom: 0.106

a b c (Å): 6.088 6.088 6.088
angles (deg): 113.73 113.73 101.25
Sites, in units of the cell vectors:
K 0.250 0.750 0.500
K 0.750 0.250 0.500
Al 0.000 0.000 0.000
Cl 0.333 0.333 0.000
Cl 0.667 0.667 0.000
F 0.187 0.187 0.375
F 0.187 0.813 0.000
F 0.813 0.187 0.000
F 0.813 0.813 0.625

=====

Entry 2:
This record from the Alexandria database describes crystalline YGa2IrRu at its relaxed geometry. The functional is PBE-GGA.

Summary:
V in Å³ per cell: 182
Density in Mg/m³: 9.50
E in eV/atom: -6.698
Spin magnetization in μB/atom: 0.000

a b c (Å): 4.355 4.355 9.619
angles (deg): 90.00 90.00 90.00
Sites, in units of the cell vectors:
Y 0.000 0.000 0.000
Y 0.500 0.500 0.500
Ga 0.000 0.000 0.370
Ga 0.000 0.000 0.630
Ga 0.500 0.500 0.130
Ga 0.500 0.500 0.870
Ir 0.000 0.500 0.250
Ir 0.500 0.000 0.750
Ru 0.000 0.500 0.750
Ru 0.500 0.000 0.250

=====

What is the density in the second record? 9.50 Mg/m³